No. 1
Compound: Ho2MgIr
Source: the Alexandria database
Functional: PBE
Structure: optimized geometry

Cell and atoms, written as POSCAR:
```
Ho2MgIr
1.0
3.530 0.000 0.000
0.000 3.530 0.000
0.000 0.000 7.572
Mg Ir Ho
1 1 2
Cartesian
1.765 1.765 3.786
1.765 1.765 0.000
0.000 0.000 1.592
0.000 0.000 5.980
```

- energy (eV per cell) = -21.67
- energy of formation from the pure elements (eV/atom) = -0.514
- DOS(E_F) (states/eV per cell) = 1.69
- magnetization (Bohr magnetons per cell) = 0.0
- SG = No. 123

No. 2
Compound: La4InGe2
Source: the Alexandria database
Functional: PBE
Structure: optimized geometry

Cell and atoms, written as POSCAR:
```
La4InGe2
1.0
-3.817 7.180 -1.190
2.590 -2.917 -7.233
-5.215 -5.360 3.426
La Ge In
8 4 2
Cartesian
-1.497 0.044 -3.135
-4.840 1.208 -3.378
-4.487 -2.729 1.277
-2.208 3.848 -5.116
-6.343 0.890 0.689
-1.446 -2.848 -0.545
-4.691 -3.356 -3.021
-0.255 -1.443 -6.758
-3.755 -5.288 -0.784
-2.593 0.833 -5.927
-4.155 -0.863 -1.177
-2.380 3.126 -2.106
-6.442 -1.097 -4.996
-1.619 -3.072 -4.010
```

- energy (eV per cell) = -72.42
- energy of formation from the pure elements (eV/atom) = -0.647
- DOS(E_F) (states/eV per cell) = 15.82
- magnetization (Bohr magnetons per cell) = 0.0
- SG = No. 43

No. 3
Compound: FeRu2Cl
Source: the Alexandria database
Functional: PBE
Structure: optimized geometry

Cell and atoms, written as POSCAR:
```
FeRu2Cl
1.0
8.248 -0.043 -0.025
7.772 2.759 -0.025
7.772 1.318 2.424
Fe Ru Cl
1 2 1
Cartesian
17.844 3.026 1.781
0.055 0.009 0.006
11.841 2.008 1.182
5.948 1.009 0.594
```

- energy (eV per cell) = -27.09
- DOS(E_F) (states/eV per cell) = 4.21
- ΔE to the lowest computed polymorph (meV/atom) = 138.8
- formation energy (no corrections) (eV per atom) = 0.443
- magnetization (Bohr magnetons per cell) = 3.1
- SG = No. 166

No. 4
Compound: DyPuHgPb
Source: the Alexandria database
Functional: PBE
Structure: optimized geometry

Cell and atoms, written as POSCAR:
```
DyPuHgPb
1.0
5.375 0.000 0.000
2.687 4.655 0.000
2.687 1.552 4.388
Hg Pb Dy Pu
1 1 1 1
Cartesian
8.062 4.655 3.291
2.687 1.552 1.097
0.000 0.000 0.000
5.375 3.103 2.194
```

- energy (eV per cell) = -24.08
- energy of formation from the pure elements (eV/atom) = -0.284
- DOS(E_F) (states/eV per cell) = 10.52
- magnetization (Bohr magnetons per cell) = 6.7
- SG = No. 216